VASP calculation (GGA-PBE) on crystalline TmTlSe2O8 at its relaxed geometry.

Computed properties:
raw formation energy	-1.392	eV per atom
DOS(E_F)	0.00	states/eV per cell
E_tot	-70.18	eV per cell
magnetization	0.00	Bohr magnetons per cell

Cell: 5.4305 5.4305 8.5419 Å, 88.11 88.11 64.01°
Closest atoms and distances in Å follow each position.
Positions (direct):
Tm 0.0000 0.0000 0.0000  6 O 2.18-2.23
Tl 0.0000 0.0000 0.5000  6 O 2.97-3.09
Se 0.6387 0.6387 0.2150  4 O 1.64-1.68
Se 0.3613 0.3613 0.7850  4 O 1.64-1.68
O 0.7011 0.2293 0.8136  1 Se 1.68
O 0.7706 0.7706 0.0750  1 Se 1.67
O 0.6970 0.6970 0.3944  1 Se 1.64
O 0.3030 0.3030 0.6056  1 Se 1.64
O 0.2294 0.2294 0.9250  1 Se 1.67
O 0.2293 0.7011 0.8136  1 Se 1.68
O 0.7707 0.2989 0.1864  1 Se 1.68
O 0.2989 0.7707 0.1864  1 Se 1.68